An optimized crystal structure of SnS2F. Source: Alexandria, functional PBE-GGA.

Properties
Its total DFT energy (no corrections) is -3.2116 eV/atom. The value obtained for the uncorrected formation energy is 321 meV per atom. For the spin magnetization, the calculation gives 0.00 μB per formula unit.

```
data_SnS2F
_symmetry_space_group_name_H-M 'R -3 m'
_symmetry_Int_Tables_number 166
_symmetry_space_group_name_Hall '-R 3 2"'
_cell_length_a 3.0002
_cell_length_b 3.0002
_cell_length_c 27.0184
_cell_angle_alpha 90.00
_cell_angle_beta 90.00
_cell_angle_gamma 120.00
loop_
_atom_site_label
_atom_site_fract_x
_atom_site_fract_y
_atom_site_fract_z
Sn1 0.0000 0.0000 0.0000
S1 0.0000 0.0000 0.0958
F1 0.0000 0.0000 0.5000
```

=====

An optimized crystal structure of Nb2Mo13. Source: Alexandria, functional PBE-GGA.

Properties
Its energy of formation is 22 kJ per mole of atoms. Its total DFT energy (no corrections) is -10.5001 eV/atom. For the spin magnetization, the calculation gives 0.00 μB per formula unit.

```
data_Nb2Mo13
_symmetry_space_group_name_H-M 'P -1'
_symmetry_Int_Tables_number 2
_cell_length_a 6.279
_cell_length_b 7.042
_cell_length_c 7.060
_cell_angle_alpha 112.71
_cell_angle_beta 91.07
_cell_angle_gamma 116.09
loop_
_symmetry_equiv_pos_as_xyz
'x,y,z'
'-x,-y,-z'
loop_
_atom_site_label
_atom_site_fract_x
_atom_site_fract_y
_atom_site_fract_z
Nb1 0.015 0.304 0.368
Mo1 0.084 0.934 0.127
Mo2 0.156 0.554 0.875
Mo3 0.219 0.185 0.625
Mo4 0.288 0.814 0.365
Mo5 0.350 0.434 0.124
Mo6 0.473 0.686 0.618
Mo7 0.500 0.000 0.000
```

=====

An optimized crystal structure of CeTh2U3As6. Source: Alexandria, functional PBE-GGA.

Properties
Its energy of formation is -103 kJ per mole of atoms. Its total DFT energy (no corrections) is -7.9408 eV/atom. For the spin magnetization, the calculation gives 8.02 μB per formula unit.

```
data_CeTh2U3As6
_symmetry_space_group_name_H-M 'C 1 2/m 1'
_symmetry_Int_Tables_number 12
_cell_length_a 18.275
_cell_length_b 4.132
_cell_length_c 8.409
_cell_angle_alpha 90.00
_cell_angle_beta 104.65
_cell_angle_gamma 90.00
loop_
_symmetry_equiv_pos_as_xyz
'x,y,z'
'-x,-y,-z'
'-x,y,-z'
'x,-y,z'
'x+1/2,y+1/2,z'
'-x+1/2,-y+1/2,-z'
'-x+1/2,y+1/2,-z'
'x+1/2,-y+1/2,z'
loop_
_atom_site_label
_atom_site_fract_x
_atom_site_fract_y
_atom_site_fract_z
Ce1 0.000 0.000 0.000
Th1 0.167 0.500 0.333
U1 0.000 0.000 0.500
U2 0.167 0.500 0.834
As1 0.003 0.500 0.746
As2 0.164 0.000 0.590
As3 0.168 0.000 0.077
```

=====

An optimized crystal structure of Hf2CdBr. Source: Alexandria, functional PBE-GGA.

Properties
Its total DFT energy (no corrections) is -5.4061 eV/atom. The value obtained for the uncorrected formation energy is 218 meV per atom. For the spin magnetization, the calculation gives 0.00 μB per formula unit.

```
data_Hf2CdBr
_symmetry_space_group_name_H-M 'F m -3 m'
_symmetry_Int_Tables_number 225
_symmetry_space_group_name_Hall '-F 4 2 3'
_cell_length_a 6.974
_cell_length_b 6.974
_cell_length_c 6.974
_cell_angle_alpha 90.00
_cell_angle_beta 90.00
_cell_angle_gamma 90.00
loop_
_atom_site_label
_atom_site_fract_x
_atom_site_fract_y
_atom_site_fract_z
Hf1 0.250 0.250 0.250
Cd1 0.000 0.000 0.000
Br1 0.000 0.000 0.500
```